Record 1
Density functional theory data (PBE) for a geometry-optimized CrFe3Br structure.

Calculated values
* size of the total moment: 4.870 μB per formula unit
* density of states at the Fermi level: 7.1 states/eV/f.u.
* formation energy from raw total energies: 1303 meV per atom
* crystal system: cubic

```
data_CrFe3Br
_chemical_formula_sum 'Cr1 Fe3 Br1'
_symmetry_space_group_name_H-M 'P m -3 m'
_symmetry_Int_Tables_number 221
_symmetry_space_group_name_Hall '-P 4 2 3'
_cell_length_a 4.392
_cell_length_b 4.392
_cell_length_c 4.392
_cell_angle_alpha 90.00
_cell_angle_beta 90.00
_cell_angle_gamma 90.00
loop_
_atom_site_label
_atom_site_type_symbol
_atom_site_fract_x
_atom_site_fract_y
_atom_site_fract_z
Cr1 Cr 0.000 0.000 0.000
Fe1 Fe 0.000 0.000 0.500
Br1 Br 0.500 0.500 0.500
```


Record 2
Density functional theory data (PBE) for a geometry-optimized Cr2FeBr structure.

Calculated values
* size of the total moment: 4.881 μB per formula unit
* density of states at the Fermi level: 2.8 states/eV/f.u.
* formation energy from raw total energies: 878 meV per atom
* crystal system: tetragonal

```
data_Cr2FeBr
_chemical_formula_sum 'Cr8 Fe4 Br4'
_symmetry_space_group_name_H-M 'I -4 2 d'
_symmetry_Int_Tables_number 122
_symmetry_space_group_name_Hall 'I -4 2bw'
_cell_length_a 6.469
_cell_length_b 6.469
_cell_length_c 7.288
_cell_angle_alpha 90.00
_cell_angle_beta 90.00
_cell_angle_gamma 90.00
loop_
_atom_site_label
_atom_site_type_symbol
_atom_site_fract_x
_atom_site_fract_y
_atom_site_fract_z
Cr1 Cr 0.215 0.250 0.125
Fe1 Fe 0.000 0.000 0.000
Br1 Br 0.000 0.000 0.500
```


Record 3
Density functional theory data (PBE) for a geometry-optimized Cr2FeBr structure.

Calculated values
* size of the total moment: 2.630 μB per formula unit
* density of states at the Fermi level: 4.3 states/eV/f.u.
* formation energy from raw total energies: 988 meV per atom
* crystal system: cubic

```
data_Cr2FeBr
_chemical_formula_sum 'Cr8 Fe4 Br4'
_symmetry_space_group_name_H-M 'F -4 3 m'
_symmetry_Int_Tables_number 216
_symmetry_space_group_name_Hall 'F -4 2 3'
_cell_length_a 5.971
_cell_length_b 5.971
_cell_length_c 5.971
_cell_angle_alpha 90.00
_cell_angle_beta 90.00
_cell_angle_gamma 90.00
loop_
_atom_site_label
_atom_site_type_symbol
_atom_site_fract_x
_atom_site_fract_y
_atom_site_fract_z
Cr1 Cr 0.000 0.000 0.000
Cr2 Cr 0.250 0.250 0.250
Fe1 Fe 0.000 0.000 0.500
Br1 Br 0.250 0.250 0.750
```


Record 4
Density functional theory data (PBE) for a geometry-optimized Cr2FeBr structure.

Calculated values
* size of the total moment: 2.785 μB per formula unit
* density of states at the Fermi level: 4.0 states/eV/f.u.
* formation energy from raw total energies: 843 meV per atom
* crystal system: tetragonal

```
data_Cr2FeBr
_chemical_formula_sum 'Cr4 Fe2 Br2'
_symmetry_space_group_name_H-M 'I -4 m 2'
_symmetry_Int_Tables_number 119
_symmetry_space_group_name_Hall 'I -4 -2'
_cell_length_a 3.720
_cell_length_b 3.720
_cell_length_c 9.134
_cell_angle_alpha 90.00
_cell_angle_beta 90.00
_cell_angle_gamma 90.00
loop_
_atom_site_label
_atom_site_type_symbol
_atom_site_fract_x
_atom_site_fract_y
_atom_site_fract_z
Cr1 Cr 0.000 0.000 0.000
Cr2 Cr 0.000 0.500 0.250
Fe1 Fe 0.000 0.500 0.750
Br1 Br 0.000 0.000 0.500
```


Record 5
Density functional theory data (PBE) for a geometry-optimized CrFe2Br structure.

Calculated values
* size of the total moment: 8.597 μB per formula unit
* density of states at the Fermi level: 4.6 states/eV/f.u.
* formation energy from raw total energies: 801 meV per atom
* crystal system: orthorhombic

```
data_CrFe2Br
_chemical_formula_sum 'Cr1 Fe2 Br1'
_symmetry_space_group_name_H-M 'P m m m'
_symmetry_Int_Tables_number 47
_cell_length_a 3.063
_cell_length_b 4.209
_cell_length_c 4.572
_cell_angle_alpha 90.00
_cell_angle_beta 90.00
_cell_angle_gamma 90.00
loop_
_symmetry_equiv_pos_as_xyz
'x,y,z'
'-x,-y,-z'
'-x,-y,z'
'x,y,-z'
'x,-y,-z'
'-x,y,z'
'-x,y,-z'
'x,-y,z'
loop_
_atom_site_label
_atom_site_type_symbol
_atom_site_fract_x
_atom_site_fract_y
_atom_site_fract_z
Cr1 Cr 0.000 0.000 0.000
Fe1 Fe 0.000 0.500 0.500
Fe2 Fe 0.500 0.000 0.500
Br1 Br 0.500 0.500 0.000
```


Record 6
Density functional theory data (PBE) for a geometry-optimized CrFe2Br structure.

Calculated values
* size of the total moment: 2.953 μB per formula unit
* density of states at the Fermi level: 4.1 states/eV/f.u.
* formation energy from raw total energies: 633 meV per atom
* crystal system: trigonal

```
data_CrFe2Br
_chemical_formula_sum 'Cr3 Fe6 Br3'
_symmetry_space_group_name_H-M 'R -3 m'
_symmetry_Int_Tables_number 166
_symmetry_space_group_name_Hall '-R 3 2"'
_cell_length_a 3.0406
_cell_length_b 3.0406
_cell_length_c 22.5054
_cell_angle_alpha 90.00
_cell_angle_beta 90.00
_cell_angle_gamma 120.00
loop_
_atom_site_label
_atom_site_type_symbol
_atom_site_fract_x
_atom_site_fract_y
_atom_site_fract_z
Cr1 Cr 0.0000 0.0000 0.0000
Fe1 Fe 0.0000 0.0000 0.2591
Br1 Br 0.0000 0.0000 0.5000
```


Record 7
Density functional theory data (PBE) for a geometry-optimized Cr2FeBr structure.

Calculated values
* size of the total moment: 5.686 μB per formula unit
* density of states at the Fermi level: 4.7 states/eV/f.u.
* formation energy from raw total energies: 874 meV per atom
* crystal system: orthorhombic

```
data_Cr2FeBr
_chemical_formula_sum 'Cr4 Fe2 Br2'
_symmetry_space_group_name_H-M 'C m m m'
_symmetry_Int_Tables_number 65
_symmetry_space_group_name_Hall '-C 2 2'
_cell_length_a 5.365
_cell_length_b 6.905
_cell_length_c 2.942
_cell_angle_alpha 90.00
_cell_angle_beta 90.00
_cell_angle_gamma 90.00
loop_
_atom_site_label
_atom_site_type_symbol
_atom_site_fract_x
_atom_site_fract_y
_atom_site_fract_z
Cr1 Cr 0.250 0.250 0.000
Fe1 Fe 0.000 0.000 0.500
Br1 Br 0.000 0.500 0.500
```


Record 8
Density functional theory data (PBE) for a geometry-optimized Cr2FeBr structure.

Calculated values
* size of the total moment: 2.301 μB per formula unit
* density of states at the Fermi level: 3.6 states/eV/f.u.
* formation energy from raw total energies: 784 meV per atom
* crystal system: orthorhombic

```
data_Cr2FeBr
_chemical_formula_sum 'Cr2 Fe1 Br1'
_symmetry_space_group_name_H-M 'P m m m'
_symmetry_Int_Tables_number 47
_cell_length_a 3.068
_cell_length_b 4.236
_cell_length_c 4.387
_cell_angle_alpha 90.00
_cell_angle_beta 90.00
_cell_angle_gamma 90.00
loop_
_symmetry_equiv_pos_as_xyz
'x,y,z'
'-x,-y,-z'
'-x,-y,z'
'x,y,-z'
'x,-y,-z'
'-x,y,z'
'-x,y,-z'
'x,-y,z'
loop_
_atom_site_label
_atom_site_type_symbol
_atom_site_fract_x
_atom_site_fract_y
_atom_site_fract_z
Cr1 Cr 0.000 0.000 0.000
Cr2 Cr 0.500 0.500 0.000
Fe1 Fe 0.000 0.500 0.500
Br1 Br 0.500 0.000 0.500
```